KTaOs2I | GGA-PBE | relaxed

Unit cell a=4.7970 b=4.7970 c=7.5403 alpha=90.00 beta=90.00 gamma=90.00
Fractional positions:
K (0.0000, 0.0000, 0.0000)
Ta (0.0000, 0.0000, 0.5000)
Os (0.0000, 0.5000, 0.5000)
Os (0.5000, 0.0000, 0.5000)
I (0.5000, 0.5000, 0.0000)

**Crystal system**: tetragonal
**Space-group type**: P4/mmm, No. 123



K4P21I | GGA-PBE | relaxed

Unit cell a=12.8605 b=12.8605 c=9.8759 alpha=90.00 beta=90.00 gamma=62.78
Fractional positions:
K (0.0630, 0.7585, 0.7500)
K (0.2415, 0.9370, 0.7500)
K (0.3802, 0.3802, 0.0000)
K (0.3802, 0.3802, 0.5000)
K (0.6198, 0.6198, 0.0000)
K (0.6198, 0.6198, 0.5000)
K (0.7585, 0.0630, 0.2500)
K (0.9370, 0.2415, 0.2500)
P (0.0100, 0.6877, 0.0758)
P (0.0100, 0.6877, 0.4242)
P (0.0419, 0.9581, 0.2500)
P (0.0537, 0.5088, 0.7500)
P (0.0606, 0.4971, 0.0834)
P (0.0606, 0.4971, 0.4166)
P (0.1161, 0.2345, 0.7500)
P (0.1477, 0.8523, 0.0864)
P (0.1477, 0.8523, 0.4136)
P (0.1825, 0.6692, 0.1352)
P (0.1825, 0.6692, 0.3648)
P (0.2064, 0.3403, 0.7500)
P (0.2345, 0.1161, 0.2500)
P (0.3123, 0.9900, 0.0758)
P (0.3123, 0.9900, 0.4242)
P (0.3308, 0.8175, 0.1352)
P (0.3308, 0.8175, 0.3648)
P (0.3403, 0.2064, 0.2500)
P (0.4912, 0.9463, 0.7500)
P (0.4971, 0.0606, 0.5834)
P (0.4971, 0.0606, 0.9166)
P (0.5029, 0.9394, 0.0834)
P (0.5029, 0.9394, 0.4166)
P (0.5088, 0.0537, 0.2500)
P (0.6597, 0.7936, 0.7500)
P (0.6692, 0.1825, 0.6352)
P (0.6692, 0.1825, 0.8648)
P (0.6877, 0.0100, 0.5758)
P (0.6877, 0.0100, 0.9242)
P (0.7655, 0.8839, 0.7500)
P (0.7936, 0.6597, 0.2500)
P (0.8175, 0.3308, 0.6352)
P (0.8175, 0.3308, 0.8648)
P (0.8523, 0.1477, 0.5864)
P (0.8523, 0.1477, 0.9136)
P (0.8839, 0.7655, 0.2500)
P (0.9394, 0.5029, 0.5834)
P (0.9394, 0.5029, 0.9166)
P (0.9463, 0.4912, 0.2500)
P (0.9581, 0.0419, 0.7500)
P (0.9900, 0.3123, 0.5758)
P (0.9900, 0.3123, 0.9242)
I (0.3940, 0.6060, 0.7500)
I (0.6060, 0.3940, 0.2500)

**Crystal system**: orthorhombic
**Space-group type**: Cmcm, No. 63



KPI2 | GGA-PBE | relaxed

Unit cell a=9.6465 b=9.6465 c=9.6465 alpha=139.47 beta=139.47 gamma=58.67
Fractional positions:
K (0.0000, 0.0000, 0.0000)
K (0.7500, 0.2500, 0.5000)
P (0.2500, 0.7500, 0.5000)
P (0.5000, 0.5000, 0.0000)
I (0.2363, 0.6250, 0.1113)
I (0.3750, 0.4863, 0.6113)
I (0.5137, 0.1250, 0.8887)
I (0.8750, 0.7637, 0.3887)

**Crystal system**: tetragonal
**Space-group type**: I-42d, No. 122
**Distance to the lowest polymorph of the same formula**: 0 meV/atom



KPI2 | GGA-PBE | relaxed

Unit cell a=5.8114 b=5.8114 c=5.8114 alpha=60.00 beta=60.00 gamma=60.00
Fractional positions:
K (0.0000, 0.0000, 0.0000)
P (0.5000, 0.5000, 0.5000)
I (0.2500, 0.2500, 0.2500)
I (0.7500, 0.7500, 0.7500)

**Crystal system**: cubic
**Space-group type**: Fm-3m, No. 225
**Distance to the lowest polymorph of the same formula**: 304 meV/atom



K2P2I | GGA-PBE | relaxed

Unit cell a=6.5591 b=6.5591 c=6.5591 alpha=123.25 beta=123.25 gamma=84.46
Fractional positions:
K (0.2500, 0.7500, 0.5000)
K (0.7500, 0.2500, 0.5000)
P (0.1015, 0.1015, 0.0000)
P (0.8985, 0.8985, 0.0000)
I (0.5000, 0.5000, 0.0000)

**Crystal system**: tetragonal
**Space-group type**: I4/mmm, No. 139



K3PI | GGA-PBE | relaxed

Unit cell a=6.1826 b=6.1826 c=6.1826 alpha=90.00 beta=90.00 gamma=90.00
Fractional positions:
K (0.0000, 0.0000, 0.5000)
K (0.0000, 0.5000, 0.0000)
K (0.5000, 0.0000, 0.0000)
P (0.0000, 0.0000, 0.0000)
I (0.5000, 0.5000, 0.5000)

**Crystal system**: cubic
**Space-group type**: Pm-3m, No. 221
**Distance to the lowest polymorph of the same formula**: 0 meV/atom



KPI4 | GGA-PBE | relaxed

Unit cell a=5.3621 b=7.0311 c=8.3288 alpha=84.24 beta=89.93 gamma=68.25
Fractional positions:
K (0.0000, 0.0000, 0.0000)
P (0.4322, 0.9964, 0.4994)
I (0.0146, 0.2526, 0.5983)
I (0.3017, 0.7269, 0.3885)
I (0.3814, 0.2415, 0.1932)
I (0.6145, 0.7593, 0.7995)

**Crystal system**: triclinic
**Space-group type**: P1, No. 1



KPPt2I | GGA-PBE | relaxed

Unit cell a=4.4797 b=4.4797 c=7.9658 alpha=90.00 beta=90.00 gamma=90.00
Fractional positions:
K (0.0000, 0.0000, 0.0000)
P (0.0000, 0.0000, 0.5000)
Pt (0.0000, 0.5000, 0.5000)
Pt (0.5000, 0.0000, 0.5000)
I (0.5000, 0.5000, 0.0000)

**Crystal system**: tetragonal
**Space-group type**: P4/mmm, No. 123



KRe2PI | GGA-PBE | relaxed

Unit cell a=6.2504 b=6.2504 c=5.6935 alpha=90.00 beta=90.00 gamma=90.00
Fractional positions:
K (0.0000, 0.0000, 0.0000)
Re (0.0000, 0.5000, 0.0000)
Re (0.5000, 0.0000, 0.0000)
P (0.0000, 0.0000, 0.5000)
I (0.5000, 0.5000, 0.5000)

**Crystal system**: tetragonal
**Space-group type**: P4/mmm, No. 123



KP2SI | GGA-PBE | relaxed

Unit cell a=5.3577 b=5.3577 c=5.3418 alpha=90.00 beta=90.00 gamma=90.00
Fractional positions:
K (0.0000, 0.0000, 0.0000)
P (0.0000, 0.5000, 0.5000)
P (0.5000, 0.0000, 0.5000)
S (0.5000, 0.5000, 0.0000)
I (0.5000, 0.5000, 0.5000)

**Crystal system**: tetragonal
**Space-group type**: P4/mmm, No. 123
**Distance to the lowest polymorph of the same formula**: 0 meV/atom



KP2SI | GGA-PBE | relaxed

Unit cell a=6.2587 b=6.2587 c=5.7576 alpha=90.00 beta=90.00 gamma=90.00
Fractional positions:
K (0.0000, 0.0000, 0.0000)
P (0.0000, 0.5000, 0.0000)
P (0.5000, 0.0000, 0.0000)
S (0.0000, 0.0000, 0.5000)
I (0.5000, 0.5000, 0.5000)

**Crystal system**: tetragonal
**Space-group type**: P4/mmm, No. 123
**Distance to the lowest polymorph of the same formula**: 815 meV/atom



KSbPI2 | GGA-PBE | relaxed

Unit cell a=6.1025 b=6.1025 c=5.0042 alpha=90.00 beta=90.00 gamma=90.00
Fractional positions:
K (0.0000, 0.0000, 0.0000)
Sb (0.5000, 0.5000, 0.0000)
P (0.5000, 0.5000, 0.5000)
I (0.0000, 0.5000, 0.5000)
I (0.5000, 0.0000, 0.5000)

**Crystal system**: tetragonal
**Space-group type**: P4/mmm, No. 123
**Distance to the lowest polymorph of the same formula**: 0 meV/atom



no.,E_tot (eV per atom),raw formation energy (eV per atom)
1,-5.797,1.5952
2,-4.901,-0.3032
3,-2.600,-0.1983
4,-2.296,0.1058
5,-3.373,-0.4596
6,-2.587,-0.5362
7,-2.595,-0.4770
8,-4.204,-0.1763
9,-3.277,3.3142
10,-2.757,0.7624
11,-1.941,1.5779
12,-2.856,-0.1099